[1]
{
  "formula": "KScCd2",
  "functional": "GGA-PBEsol",
  "state": "optimized geometry",
  "e_tot_ry_per_atom": -0.17934,
  "volume_a3_per_atom": 26.8,
  "e_form_mev_per_atom": 93,
  "spacegroup": "No. 166",
  "cell": [[1.716, 0.991, 10.505], [-1.716, 0.991, 10.505], [0.000, -1.982, 10.505]],
  "species": ["K", "Sc", "Cd", "Cd"],
  "frac_coords": [[0.000, 0.000, 0.000], [0.500, 0.500, 0.500], [0.238, 0.238, 0.238], [0.762, 0.762, 0.762]]
}

=====

[2]
{
  "formula": "Hf2TaZnMo",
  "functional": "GGA-PBEsol",
  "state": "optimized geometry",
  "e_tot_ry_per_atom": -0.58578,
  "volume_a3_per_atom": 23.5,
  "e_form_mev_per_atom": 1411,
  "spacegroup": "No. 123",
  "cell": [[5.044, 0.000, 0.000], [0.000, 5.044, 0.000], [0.000, 0.000, 4.620]],
  "species": ["Hf", "Hf", "Ta", "Zn", "Mo"],
  "frac_coords": [[0.000, 0.500, 0.000], [0.500, 0.000, 0.000], [0.000, 0.000, 0.000], [0.500, 0.500, 0.500], [0.000, 0.000, 0.500]]
}

=====

[3]
{
  "formula": "Li2CaTl2",
  "functional": "GGA-PBEsol",
  "state": "optimized geometry",
  "e_tot_ry_per_atom": -0.18534,
  "volume_a3_per_atom": 23.7,
  "e_form_mev_per_atom": -256,
  "spacegroup": "No. 127",
  "cell": [[8.264, 0.000, 0.000], [0.000, 8.264, 0.000], [0.000, 0.000, 3.469]],
  "species": ["Li", "Li", "Li", "Li", "Ca", "Ca", "Tl", "Tl", "Tl", "Tl"],
  "frac_coords": [[0.162, 0.338, 0.000], [0.338, 0.838, 0.000], [0.662, 0.162, 0.000], [0.838, 0.662, 0.000], [0.000, 0.000, 0.500], [0.500, 0.500, 0.500], [0.133, 0.633, 0.500], [0.367, 0.133, 0.500], [0.633, 0.867, 0.500], [0.867, 0.367, 0.500]]
}

=====

[4]
{
  "formula": "Zr2Ta",
  "functional": "GGA-PBEsol",
  "state": "optimized geometry",
  "e_tot_ry_per_atom": -0.74700,
  "volume_a3_per_atom": 20.6,
  "e_form_mev_per_atom": 80,
  "spacegroup": "No. 12",
  "cell": [[5.386, -1.711, 0.000], [5.386, 1.711, 0.000], [-2.199, 0.000, 6.699]],
  "species": ["Zr", "Zr", "Zr", "Zr", "Ta", "Ta"],
  "frac_coords": [[0.009, 0.009, 0.246], [0.320, 0.320, 0.384], [0.680, 0.680, 0.616], [0.991, 0.991, 0.754], [0.333, 0.333, 0.947], [0.667, 0.667, 0.053]]
}